1.
An optimized crystal structure of NiSe. Source: Alexandria via LeMat-Bulk, functional PBE-GGA.

Values from the calculation:
For the uncorrected formation energy, the calculation gives -0.256 eV/atom. For the total energy, the calculation gives -4.889 eV/atom.

abc: 6.459 6.459 3.714
angles: 90.00 90.00 90.00
Space group P4_2/mnm (No. 136)
One atom of each set of equivalent atoms:
1 Ni 0.139 0.139 0.000 x4
2 Se 0.211 0.789 0.000 x4

=====

2.
An optimized crystal structure of YAsNF2. Source: Alexandria via LeMat-Bulk, functional PBE-GGA.

Values from the calculation:
For the uncorrected formation energy, the calculation gives -1.365 eV/atom. For the total energy, the calculation gives -6.002 eV/atom.

abc: 4.258 4.258 4.928
angles: 90.00 90.00 90.00
Space group P4/mmm (No. 123)
One atom of each set of equivalent atoms:
1 Y 0.000 0.000 0.000 x1
2 As 0.500 0.500 0.500 x1
3 N 0.000 0.000 0.500 x1
4 F 0.000 0.500 0.000 x2

=====

3.
An optimized crystal structure of TbZr2N. Source: Alexandria via LeMat-Bulk, functional PBE-GGA.

Values from the calculation:
For the uncorrected formation energy, the calculation gives -0.655 eV/atom. For the total energy, the calculation gives -8.168 eV/atom.

abc: 3.2975 3.2975 26.4314
angles: 90.00 90.00 120.00
Space group R-3m (No. 166, hexagonal axes)
One atom of each set of equivalent atoms:
1 Tb 0.0000 0.0000 0.0000 x3
2 Zr 0.0000 0.0000 0.1200 x6
3 N 0.0000 0.0000 0.5000 x3

=====

4.
An optimized crystal structure of Be3C4. Source: Alexandria via LeMat-Bulk, functional PBE-GGA.

Values from the calculation:
For the total energy, the calculation gives -5.995 eV/atom. The value obtained for the formation energy is 590 kJ/mol of formula units.

abc: 5.2937 5.2937 2.4714
angles: 90.00 90.00 120.00
Space group P6/mmm (No. 191)
One atom of each set of equivalent atoms:
1 Be 0.0000 0.5000 0.0000 x3
2 C 0.0000 0.0000 0.2486 x2
3 C 0.3333 0.6667 0.5000 x2

=====

5.
An optimized crystal structure of SrCaAu4. Source: Alexandria via LeMat-Bulk, functional PBE-GGA.

Values from the calculation:
For the total energy, the calculation gives -3.377 eV/atom. The value obtained for the formation energy is -335 kJ/mol of formula units.

abc: 8.184 8.184 8.184
angles: 90.00 90.00 90.00
Space group F-43m (No. 216)
One atom of each set of equivalent atoms:
1 Sr 0.000 0.000 0.000 x4
2 Ca 0.250 0.250 0.250 x4
3 Au 0.125 0.125 0.625 x16

=====

6.
An optimized crystal structure of NaLi2Sb2. Source: Alexandria via LeMat-Bulk, functional PBE-GGA.

Values from the calculation:
For the uncorrected formation energy, the calculation gives -0.388 eV/atom. For the total energy, the calculation gives -3.067 eV/atom.

abc: 5.536 6.329 8.116
angles: 76.38 70.08 64.34
Space group P-1 (No. 2)
One atom of each set of equivalent atoms:
1 Na 0.184 0.250 0.250 x2
2 Li 0.210 0.767 0.958 x2
3 Li 0.433 0.734 0.542 x2
4 Sb 0.087 0.165 0.693 x2
5 Sb 0.445 0.335 0.807 x2